(1)
Below is a relaxed TlTcBi2 crystal, with properties calculated at the PBE level.

* crystal system: tetragonal
* calculated volume: 37.77 A^3/atom
* offset from the most stable computed form: 0.000 eV/atom
* formation energy from the elements: 0.651 eV per atom

abc: 8.184 8.184 8.184
angles: 131.38 131.38 71.22
Fractional coordinates of all 8 atoms:
1 Tl 0.000 0.000 0.000
2 Tl 0.750 0.250 0.500
3 Tc 0.250 0.750 0.500
4 Tc 0.500 0.500 0.000
5 Bi 0.208 0.625 0.083
6 Bi 0.375 0.458 0.583
7 Bi 0.542 0.125 0.917
8 Bi 0.875 0.792 0.417



(2)
Below is a relaxed Pm8Ho6Er crystal, with properties calculated at the PBE level.

* crystal system: trigonal
* calculated volume: 33.12 A^3/atom
* offset from the most stable computed form: 0.000 eV/atom
* formation energy from the elements: 0.124 eV per atom

abc: 8.702 8.702 8.702
angles: 62.98 62.98 62.98
Fractional coordinates of all 15 atoms:
1 Pm 0.078 0.078 0.078
2 Pm 0.217 0.250 0.612
3 Pm 0.250 0.612 0.217
4 Pm 0.388 0.783 0.750
5 Pm 0.612 0.217 0.250
6 Pm 0.750 0.388 0.783
7 Pm 0.783 0.750 0.388
8 Pm 0.922 0.922 0.922
9 Ho 0.040 0.745 0.598
10 Ho 0.255 0.402 0.960
11 Ho 0.402 0.960 0.255
12 Ho 0.598 0.040 0.745
13 Ho 0.745 0.598 0.040
14 Ho 0.960 0.255 0.402
15 Er 0.500 0.500 0.500



Which value of calculated volume does entry 2 give? 33.12 A^3/atom



Among the records above, which one has the lowest calculated volume? Pm8Ho6Er



formation energy from the elements of number 2 (Pm8Ho6Er)? 0.124 eV per atom